CuMoWO6 | PBE+U | optimized geometry

**DFT total energy**: -6.796 eV per atom
**Volume**: 11.912 Å³/atom
**Magnetization**: 2.0 Bohr magnetons per cell

Cell: 5.2051 5.2051 9.1380 Å, 90.00 90.00 120.00°
With the nearest neighbours (Å) after each atom.
Space group P-31c (No. 163)
Inequivalent atoms, fractional coordinates:
Cu 0.0000 0.0000 0.0000  6 O 2.21
Mo 0.3333 0.6667 0.2500  6 O 2.02
W 0.3333 0.6667 0.7500  6 O 1.96
O 0.0093 0.3587 0.6334  1 W 1.96, 1 Mo 2.02